A relaxed CoHgOs2 crystal, computed with PBE.

Computed properties:
N(E_F) = 6.00 states/eV/f.u.
volume = 14.76 Å³ per atom
calculated formation energy = 0.773 eV per atom
spin magnetization = 0.83 μB/f.u.

Cell lengths 3.9053, 3.9053, 7.7408 Å; angles 90.00, 90.00, 90.00 degrees
Space group I-4m2 (No. 119)
One atom of each set of equivalent atoms:
Co 0.0000 0.0000 0.0000
Hg 0.0000 0.5000 0.7500
Os 0.0000 0.0000 0.5000
Os 0.0000 0.5000 0.2500

***

A relaxed CoHgOs2 crystal, computed with PBE.

Computed properties:
N(E_F) = 7.38 states/eV/f.u.
volume = 15.07 Å³ per atom
calculated formation energy = 1.095 eV per atom
spin magnetization = 1.69 μB/f.u.

Cell lengths 4.4425, 4.4425, 3.0539 Å; angles 90.00, 90.00, 90.00 degrees
Space group P4/mmm (No. 123)
One atom of each set of equivalent atoms:
Co 0.0000 0.0000 0.0000
Hg 0.5000 0.5000 0.0000
Os 0.0000 0.5000 0.5000

***

A relaxed CoHgOs2 crystal, computed with PBE.

Computed properties:
N(E_F) = 6.28 states/eV/f.u.
volume = 15.31 Å³ per atom
calculated formation energy = 0.858 eV per atom
spin magnetization = 2.37 μB/f.u.

Cell lengths 2.8111, 4.6209, 4.7157 Å; angles 90.00, 90.00, 90.00 degrees
Space group Pmmm (No. 47)
One atom of each set of equivalent atoms:
Co 0.0000 0.0000 0.0000
Hg 0.5000 0.5000 0.0000
Os 0.0000 0.5000 0.5000
Os 0.5000 0.0000 0.5000

***

A relaxed CoHgOs2 crystal, computed with PBE.

Computed properties:
N(E_F) = 5.68 states/eV/f.u.
volume = 15.35 Å³ per atom
calculated formation energy = 0.797 eV per atom
spin magnetization = 2.17 μB/f.u.

Cell lengths 2.7853, 4.2288, 5.3403 Å; angles 90.00, 102.58, 90.00 degrees
Space group P2/m (No. 10)
One atom of each set of equivalent atoms:
Co 0.0000 0.0000 0.0000
Hg 0.0000 0.0000 0.5000
Os 0.3637 0.5000 0.2146

***

A relaxed CoHgOs2 crystal, computed with PBE.

Computed properties:
N(E_F) = 2.40 states/eV/f.u.
volume = 15.10 Å³ per atom
calculated formation energy = 0.573 eV per atom
spin magnetization = 1.68 μB/f.u.

Cell lengths 2.7592, 2.7592, 27.4747 Å; angles 90.00, 90.00, 120.00 degrees
Space group R-3m (No. 166, hexagonal axes)
One atom of each set of equivalent atoms:
Co 0.0000 0.0000 0.0000
Hg 0.0000 0.0000 0.5000
Os 0.0000 0.0000 0.2607

***

A relaxed Co4HgOs crystal, computed with PBE.

Computed properties:
N(E_F) = 6.45 states/eV/f.u.
volume = 13.02 Å³ per atom
calculated formation energy = 0.402 eV per atom
spin magnetization = 7.72 μB/f.u.

Cell lengths 6.7855, 6.7855, 6.7855 Å; angles 90.00, 90.00, 90.00 degrees
Space group F-43m (No. 216)
One atom of each set of equivalent atoms:
Co 0.1245 0.1245 0.1245
Hg 0.0000 0.0000 0.5000
Os 0.2500 0.2500 0.7500

***

A relaxed CoHgOs2 crystal, computed with PBE.

Computed properties:
N(E_F) = 4.54 states/eV/f.u.
volume = 15.26 Å³ per atom
calculated formation energy = 0.643 eV per atom
spin magnetization = 1.48 μB/f.u.

Cell lengths 8.9556, 2.7956, 4.9453 Å; angles 90.00, 99.63, 90.00 degrees
Space group Cm (No. 8)
One atom of each set of equivalent atoms:
Co 0.0000 0.0000 0.0000
Hg 0.2435 0.0000 0.7507
Os 0.2378 0.5000 0.2474
Os 0.4818 0.0000 0.4237

***

A relaxed CoHgOs2 crystal, computed with PBE.

Computed properties:
N(E_F) = 4.94 states/eV/f.u.
volume = 15.24 Å³ per atom
calculated formation energy = 0.836 eV per atom
spin magnetization = 1.50 μB/f.u.

Cell lengths 2.8452, 4.6686, 9.1806 Å; angles 90.00, 90.00, 90.00 degrees
Space group Imm2 (No. 44)
One atom of each set of equivalent atoms:
Co 0.0000 0.0000 0.0000
Hg 0.0000 0.5000 0.7559
Os 0.0000 0.0000 0.5318
Os 0.0000 0.5000 0.2682